# 1
# RbP2RhCl, optimized geometry, DFT GGA-PBE
# - Energy above the lowest structure with this stoichiometry: 2108 meV/atom
# - Total DFT energy (no corrections): -11.9 eV/cell
data_RbP2RhCl
_cell_length_a 6.445
_cell_length_b 6.445
_cell_length_c 5.891
_cell_angle_alpha 90.00
_cell_angle_beta 90.00
_cell_angle_gamma 90.00
_symmetry_space_group_name_H-M 'P 4/m m m'
_symmetry_Int_Tables_number 123
_symmetry_space_group_name_Hall '-P 4 2'
loop_
_atom_site_label
_atom_site_fract_x
_atom_site_fract_y
_atom_site_fract_z
Rb1 0.000 0.000 0.000
P1 0.000 0.500 0.000
Rh1 0.500 0.500 0.500
Cl1 0.000 0.000 0.500

***

# 2
# Sc3SbC, optimized geometry, DFT GGA-PBE
# - Total DFT energy (no corrections): -196.5 eV/cell
data_Sc3SbC
_cell_length_a 6.9383
_cell_length_b 6.9383
_cell_length_c 18.0051
_cell_angle_alpha 90.00
_cell_angle_beta 90.00
_cell_angle_gamma 120.00
_symmetry_space_group_name_H-M 'R -3 c'
_symmetry_Int_Tables_number 167
_symmetry_space_group_name_Hall '-R 3 2"c'
loop_
_atom_site_label
_atom_site_fract_x
_atom_site_fract_y
_atom_site_fract_z
Sc1 0.0000 0.2946 0.2500
Sb1 0.0000 0.0000 0.0000
C1 0.0000 0.0000 0.2500

***

# 3
# TlBiPd6, optimized geometry, DFT GGA-PBE
# - ΔH_f (0 K): -0.141 eV/atom
# - Energy above the lowest structure with this stoichiometry: 112 meV/atom
# - Total DFT energy (no corrections): -38.5 eV/cell
data_TlBiPd6
_cell_length_a 5.254
_cell_length_b 5.276
_cell_length_c 5.291
_cell_angle_alpha 94.91
_cell_angle_beta 95.41
_cell_angle_gamma 95.28
_symmetry_space_group_name_H-M 'P -1'
_symmetry_Int_Tables_number 2
loop_
_symmetry_equiv_pos_as_xyz
'x,y,z'
'-x,-y,-z'
loop_
_atom_site_label
_atom_site_fract_x
_atom_site_fract_y
_atom_site_fract_z
Tl1 0.000 0.000 0.000
Bi1 0.500 0.500 0.500
Pd1 0.056 0.752 0.445
Pd2 0.248 0.556 0.943
Pd3 0.446 0.056 0.751

***

# 4
# Pr5Al2Cd2, optimized geometry, DFT GGA-PBE
# - ΔH_f (0 K): -0.243 eV/atom
# - Total DFT energy (no corrections): -141.6 eV/cell
data_Pr5Al2Cd2
_cell_length_a 17.267
_cell_length_b 8.292
_cell_length_c 7.664
_cell_angle_alpha 90.00
_cell_angle_beta 90.00
_cell_angle_gamma 90.00
_symmetry_space_group_name_H-M 'C m c e'
_symmetry_Int_Tables_number 64
_symmetry_space_group_name_Hall '-C 2ac 2'
loop_
_atom_site_label
_atom_site_fract_x
_atom_site_fract_y
_atom_site_fract_z
Pr1 0.000 0.000 0.000
Pr2 0.134 0.190 0.321
Al1 0.000 0.121 0.608
Cd1 0.220 0.000 0.000

***

# 5
# LaIr2, optimized geometry, DFT GGA-PBE
# - ΔH_f (0 K): 0.063 eV/atom
# - Total DFT energy (no corrections): -44.9 eV/cell
data_LaIr2
_cell_length_a 3.014
_cell_length_b 3.014
_cell_length_c 12.823
_cell_angle_alpha 90.00
_cell_angle_beta 90.00
_cell_angle_gamma 90.00
_symmetry_space_group_name_H-M 'I 4/m m m'
_symmetry_Int_Tables_number 139
_symmetry_space_group_name_Hall '-I 4 2'
loop_
_atom_site_label
_atom_site_fract_x
_atom_site_fract_y
_atom_site_fract_z
La1 0.000 0.000 0.000
Ir1 0.000 0.000 0.313

***

# 6
# Pr2YFe9, optimized geometry, DFT GGA-PBE
# - ΔH_f (0 K): 0.028 eV/atom
# - Total DFT energy (no corrections): -275.5 eV/cell
data_Pr2YFe9
_cell_length_a 5.1667
_cell_length_b 5.1667
_cell_length_c 24.8953
_cell_angle_alpha 90.00
_cell_angle_beta 90.00
_cell_angle_gamma 120.00
_symmetry_space_group_name_H-M 'R -3 m'
_symmetry_Int_Tables_number 166
_symmetry_space_group_name_Hall '-R 3 2"'
loop_
_atom_site_label
_atom_site_fract_x
_atom_site_fract_y
_atom_site_fract_z
Pr1 0.0000 0.0000 0.1411
Y1 0.0000 0.0000 0.0000
Fe1 0.0000 0.0000 0.3328
Fe2 0.0000 0.0000 0.5000
Fe3 0.0040 0.5020 0.0789